Below is a relaxed structure of CoH2O2, with properties calculated at the PBE with a Hubbard U level.

Properties
Raw total energy: -5.370 eV/atom
Magnetization: 0.592 μB/atom
Energy above the lowest structure with this stoichiometry: 0 meV/atom

```
CoH2O2
1.0
3.187 0.000 0.000
-1.592 2.801 0.000
-0.007 -0.100 4.719
Co H O
1 2 2
direct
0.000 0.000 0.000
0.336 0.673 0.572
0.664 0.327 0.428
0.335 0.670 0.779
0.665 0.330 0.221
```